Material: Nd6SmHo2Er3
Method: DFT, PBE
State: relaxed

a b c (Å): 6.2649 6.2649 11.8409
angles (deg): 95.04 95.04 120.00
Sites, in units of the cell vectors:
Nd1 0.9157 0.5819 0.7485
Nd2 0.2494 0.2494 0.7484
Nd3 0.0843 0.4181 0.2515
Nd4 0.4181 0.0843 0.2515
Nd5 0.7506 0.7506 0.2516
Nd6 0.5819 0.9157 0.7485
Er1 0.8332 0.1668 0.5000
Er2 0.1668 0.8332 0.5000
Er3 0.5000 0.5000 0.5000
Sm1 0.0000 0.0000 0.0000
Ho1 0.3335 0.6665 0.0000
Ho2 0.6665 0.3335 0.0000

***

Material: CuSn2Pd5
Method: DFT, PBE
State: relaxed

Properties
Relative energy among the computed polymorphs in meV/atom: 385

a b c (Å): 2.9265 7.8963 13.6459
angles (deg): 90.00 90.00 100.68
Sites, in units of the cell vectors:
Pd1 0.0456 0.0913 0.0947
Pd2 0.2244 0.4488 0.4149
Pd3 0.2244 0.4488 0.0851
Pd4 0.2191 0.4383 0.7500
Pd5 0.7809 0.5617 0.2500
Pd6 0.0456 0.0913 0.4053
Pd7 0.7756 0.5512 0.5851
Pd8 0.9544 0.9087 0.5947
Pd9 0.7756 0.5512 0.9149
Pd10 0.9544 0.9087 0.9053
Cu1 0.8635 0.7271 0.7500
Cu2 0.1365 0.2729 0.2500
Sn1 0.8767 0.7534 0.0840
Sn2 0.8767 0.7534 0.4160
Sn3 0.1233 0.2466 0.9160
Sn4 0.1233 0.2466 0.5840

***

Material: Li2Bi3Pd
Method: DFT, PBE
State: relaxed

a b c (Å): 3.3918 3.3918 12.1278
angles (deg): 90.00 90.00 90.00
Sites, in units of the cell vectors:
Bi1 0.0000 0.0000 0.0000
Bi2 0.0000 0.0000 0.3477
Bi3 0.0000 0.0000 0.6523
Li1 0.5000 0.5000 0.1647
Li2 0.5000 0.5000 0.8353
Pd1 0.5000 0.5000 0.5000

***

Asked for energy of formation across the records above, the calculation gives 0.16, -0.51, -1.95 eV per formula unit in order.